Entry 1:
Here is KNa2DyI6 after structural relaxation from Alexandria. Energies are from PBE.

Summary:
Crystal system ... trigonal
Raw formation energy ... -1347 meV per atom
Space-group type ... R3
Magnetic moment ... 0.0 Bohr magnetons per cell

Lattice parameters (Å, degrees): 8.8307 8.8307 8.8307 55.12 55.12 55.12
Fractional positions:
1 K 0.0000 0.0000 0.0000
2 Na 0.2978 0.2978 0.2978
3 Na 0.8103 0.8103 0.8103
4 Dy 0.4865 0.4865 0.4865
5 I 0.0926 0.6756 0.4363
6 I 0.2405 0.5683 0.8707
7 I 0.4363 0.0926 0.6756
8 I 0.5683 0.8707 0.2405
9 I 0.6756 0.4363 0.0926
10 I 0.8707 0.2405 0.5683

=====

Entry 2:
Here is GdHCl after structural relaxation from Alexandria. Energies are from PBE.

Summary:
Uncorrected energy ... -7.385 eV per atom
Crystal system ... cubic
Space-group type ... F-43m
Magnetic moment ... 7.4 Bohr magnetons per cell

Lattice parameters (Å, degrees): 4.4182 4.4182 4.4182 60.00 60.00 60.00
Fractional positions:
1 Gd 0.0000 0.0000 0.0000
2 H 0.7500 0.7500 0.7500
3 Cl 0.2500 0.2500 0.2500

=====

Entry 3:
Here is Cs3KAu after structural relaxation from Alexandria. Energies are from PBE.

Summary:
Distance to the lowest polymorph of the same formula ... 0.155 eV per atom
Crystal system ... tetragonal
Space-group type ... P4mm
ΔE_f ... 0.02 eV/atom
Magnetic moment ... 0.0 Bohr magnetons per cell

Lattice parameters (Å, degrees): 5.9894 5.9894 12.5000 90.00 90.00 90.00
Fractional positions:
1 Cs 0.0000 0.0000 0.0000
2 Cs 0.0000 0.5000 0.6917
3 Cs 0.5000 0.0000 0.6917
4 K 0.0000 0.0000 0.3681
5 Au 0.5000 0.5000 0.8557

=====

Entry 4:
Here is GaAg2Ge after structural relaxation from Alexandria. Energies are from PBE.

Summary:
Crystal system ... tetragonal
Space-group type ... P4/mmm
ΔE_f ... 0.13 eV/atom
Magnetic moment ... 0.0 Bohr magnetons per cell

Lattice parameters (Å, degrees): 4.9986 4.9986 2.9548 90.00 90.00 90.00
Fractional positions:
1 Ga 0.0000 0.0000 0.0000
2 Ag 0.0000 0.5000 0.5000
3 Ag 0.5000 0.0000 0.5000
4 Ge 0.5000 0.5000 0.0000

=====

Entry 5:
Here is Y2ErHg5 after structural relaxation from Alexandria. Energies are from PBE.

Summary:
Crystal system ... tetragonal
Space-group type ... I4/mmm
ΔE_f ... -0.42 eV/atom
Magnetic moment ... 0.0 Bohr magnetons per cell

Lattice parameters (Å, degrees): 8.1589 8.1589 8.1589 142.85 142.85 53.55
Fractional positions:
1 Y 0.2366 0.2366 0.0000
2 Y 0.7634 0.7634 0.0000
3 Er 0.5000 0.5000 0.0000
4 Hg 0.0000 0.0000 0.0000
5 Hg 0.1229 0.6229 0.5000
6 Hg 0.3771 0.8771 0.5000
7 Hg 0.6229 0.1229 0.5000
8 Hg 0.8771 0.3771 0.5000

=====

Entry 6:
Here is TiSnPd4 after structural relaxation from Alexandria. Energies are from PBE.

Summary:
Distance to the lowest polymorph of the same formula ... 0.002 eV per atom
Crystal system ... monoclinic
Space-group type ... C2/m
ΔE_f ... -0.57 eV/atom
Magnetic moment ... 0.0 Bohr magnetons per cell

Lattice parameters (Å, degrees): 4.9570 4.9570 4.8087 97.44 97.44 121.84
Fractional positions:
1 Ti 0.0000 0.0000 0.0000
2 Sn 0.5000 0.5000 0.5000
3 Pd 0.1614 0.8386 0.5000
4 Pd 0.3351 0.6649 0.0000
5 Pd 0.6649 0.3351 0.0000
6 Pd 0.8386 0.1614 0.5000

=====

Entry 7:
Here is Tc2AgW after structural relaxation from Alexandria. Energies are from PBE.

Summary:
Distance to the lowest polymorph of the same formula ... 0.159 eV per atom
Crystal system ... tetragonal
Space-group type ... I-4m2
ΔE_f ... 0.45 eV/atom
Magnetic moment ... 0.0 Bohr magnetons per cell

Lattice parameters (Å, degrees): 4.8645 4.8645 4.8645 132.31 132.31 69.74
Fractional positions:
1 Tc 0.0000 0.0000 0.0000
2 Tc 0.7500 0.2500 0.5000
3 Ag 0.5000 0.5000 0.0000
4 W 0.2500 0.7500 0.5000

=====

Entry 8:
Here is InPd7Pb2S2 after structural relaxation from Alexandria. Energies are from PBE.

Summary:
Crystal system ... monoclinic
Raw formation energy ... -309 meV per atom
Space-group type ... C2/m
Magnetic moment ... 0.0 Bohr magnetons per cell

Lattice parameters (Å, degrees): 4.0597 4.0597 13.9090 95.14 95.14 89.91
Fractional positions:
1 In 0.0000 0.0000 0.0000
2 Pd 0.0463 0.5466 0.1460
3 Pd 0.3968 0.3968 0.5840
4 Pd 0.4534 0.9537 0.8540
5 Pd 0.5000 0.5000 0.0000
6 Pd 0.5466 0.0463 0.1460
7 Pd 0.6032 0.6032 0.4160
8 Pd 0.9537 0.4534 0.8540
9 Pb 0.1083 0.1083 0.3908
10 Pb 0.8917 0.8917 0.6092
11 S 0.4266 0.4266 0.7591
12 S 0.5734 0.5734 0.2409

=====

Entry 9:
Here is LuZn2 after structural relaxation from Alexandria. Energies are from PBE.

Summary:
Crystal system ... cubic
Space-group type ... Fd-3m
ΔE_f ... -0.32 eV/atom
Magnetic moment ... 0.0 Bohr magnetons per cell

Lattice parameters (Å, degrees): 5.3853 5.3853 5.3853 60.00 60.00 60.00
Fractional positions:
1 Lu 0.1250 0.1250 0.1250
2 Lu 0.8750 0.8750 0.8750
3 Zn 0.0000 0.5000 0.5000
4 Zn 0.5000 0.0000 0.5000
5 Zn 0.5000 0.5000 0.0000
6 Zn 0.5000 0.5000 0.5000

=====

Entry 10:
Here is Ca6Mg after structural relaxation from Alexandria. Energies are from PBE.

Summary:
Crystal system ... cubic
Space-group type ... Im-3m
ΔE_f ... 1.09 eV/atom
Magnetic moment ... 0.0 Bohr magnetons per cell

Lattice parameters (Å, degrees): 8.8228 8.8228 8.8228 109.47 109.47 109.47
Fractional positions:
1 Ca 0.2500 0.5000 0.7500
2 Ca 0.2500 0.7500 0.5000
3 Ca 0.5000 0.2500 0.7500
4 Ca 0.5000 0.7500 0.2500
5 Ca 0.7500 0.2500 0.5000
6 Ca 0.7500 0.5000 0.2500
7 Mg 0.0000 0.0000 0.0000

=====

Entry 11:
Here is AsRuW2 after structural relaxation from Alexandria. Energies are from PBE.

Summary:
Crystal system ... monoclinic
Space-group type ... P2/m
ΔE_f ... 0.22 eV/atom
Magnetic moment ... 0.0 Bohr magnetons per cell

Lattice parameters (Å, degrees): 2.8204 4.1331 5.3350 90.00 99.71 90.00
Fractional positions:
1 As 0.0000 0.0000 0.0000
2 Ru 0.0000 0.0000 0.5000
3 W 0.4523 0.5000 0.2490
4 W 0.5477 0.5000 0.7510

=====

Entry 12:
Here is Fe2AgAs after structural relaxation from Alexandria. Energies are from PBE.

Summary:
Crystal system ... monoclinic
Space-group type ... P2/m
ΔE_f ... 0.27 eV/atom
Magnetic moment ... 5.0 Bohr magnetons per cell

Lattice parameters (Å, degrees): 2.8101 3.8336 5.4800 90.00 99.66 90.00
Fractional positions:
1 Fe 0.0792 0.0000 0.2816
2 Fe 0.9208 0.0000 0.7184
3 Ag 0.5000 0.5000 0.0000
4 As 0.5000 0.5000 0.5000